{
  "formula": "CaCu2Br",
  "functional": "GGA-PBE",
  "state": "relaxed",
  "space_group": "No. 99",
  "formation_energy_uncorrected_ev_per_fu": -1.55,
  "de_polymorph_ev_per_fu": 0.263,
  "lattice": [[3.518, 0.000, 0.000], [0.000, 3.518, 0.000], [0.000, 0.000, 7.316]],
  "species": ["Br", "Cu", "Cu", "Ca"],
  "frac_coords": [[0.000, 0.000, 0.549], [0.500, 0.500, 0.122], [0.000, 0.000, 0.065], [0.500, 0.500, 0.764]]
}

{
  "formula": "H5SI2",
  "functional": "GGA-PBE",
  "state": "relaxed",
  "space_group": "No. 1",
  "total_energy_ev_per_atom": -2.7787,
  "lattice": [[-7.802, -1.849, 1.600], [5.283, -5.780, 0.998], [2.128, 4.893, 2.687]],
  "species": ["I", "I", "H", "H", "H", "H", "H", "S"],
  "frac_coords": [[0.658, 0.140, 0.387], [0.152, 0.646, 0.376], [0.964, 0.450, 0.385], [0.463, 0.944, 0.993], [0.700, 0.682, 0.801], [0.130, 0.151, 0.062], [0.782, 0.875, 0.654], [0.929, 0.889, 0.896]]
}

{
  "formula": "Y4AlCd2In",
  "functional": "GGA-PBE",
  "state": "relaxed",
  "space_group": "No. 166",
  "e_form_mev_per_atom": -418,
  "lattice": [[-2.061, 0.715, -4.783], [-1.384, -4.151, -2.913], [-9.025, -0.924, 0.863]],
  "species": ["Y", "Y", "Y", "Y", "Cd", "Cd", "In", "Al"],
  "frac_coords": [[0.873, 0.873, 0.382], [0.622, 0.622, 0.133], [0.127, 0.127, 0.618], [0.378, 0.378, 0.867], [0.250, 0.250, 0.249], [0.750, 0.750, 0.751], [0.000, 0.000, 0.000], [0.500, 0.500, 0.500]]
}

{
  "formula": "Pu2SnPd",
  "functional": "GGA-PBE",
  "state": "relaxed",
  "space_group": "No. 123",
  "e_form_mev_per_atom": -420,
  "lattice": [[-1.147, -2.844, 3.577], [-0.689, -3.264, -2.817], [4.178, -1.209, 0.379]],
  "species": ["Pd", "Pu", "Pu", "Sn"],
  "frac_coords": [[0.500, 0.500, 0.500], [0.000, 0.000, 0.500], [0.000, 0.500, 0.000], [0.500, 0.000, 0.000]]
}

{
  "formula": "DyErTlCd",
  "functional": "GGA-PBE",
  "state": "relaxed",
  "space_group": "No. 216",
  "e_form_mev_per_atom": -328,
  "lattice": [[-2.503, -4.471, -1.385], [2.428, -4.685, 0.566], [-1.627, -3.398, 3.739]],
  "species": ["Dy", "Er", "Tl", "Cd"],
  "frac_coords": [[0.000, 0.000, 0.000], [0.500, 0.500, 0.500], [0.250, 0.250, 0.250], [0.750, 0.750, 0.750]]
}

{
  "formula": "Ce2Be4CuSi3",
  "functional": "GGA-PBE",
  "state": "relaxed",
  "space_group": "No. 115",
  "formation_energy_uncorrected_ev_per_fu": -3.95,
  "lattice": [[-1.822, -2.731, 2.193], [2.100, -2.830, -1.779], [6.709, 0.826, 6.604]],
  "species": ["Si", "Si", "Si", "Be", "Be", "Be", "Be", "Cu", "Ce", "Ce"],
  "frac_coords": [[0.000, 0.500, 0.131], [0.000, 0.000, 0.500], [0.500, 0.000, 0.869], [0.500, 0.500, 0.000], [0.500, 0.000, 0.627], [0.000, 0.000, 0.000], [0.000, 0.500, 0.373], [0.500, 0.500, 0.500], [0.500, 0.000, 0.248], [0.000, 0.500, 0.752]]
}